13
Lattice="4.596 0.000 0.000 0.000 4.596 0.000 0.000 0.000 4.596" Properties=species:S:1:pos:R:3 comment="KB6N6, relaxed, DFT GGA-PBE" density_g_cm3=3.2 formation_energy_uncorrected_mev_per_atom=-392 total_magnetization_mub_per_atom=0.0000 e_tot_ev_per_atom=-7.401 pbc="T T T"
N 0.000 3.442 2.298
N 2.298 0.000 3.442
N 3.442 2.298 0.000
N 2.298 0.000 1.154
N 1.154 2.298 0.000
N 0.000 1.154 2.298
B 2.298 1.069 0.000
B 0.000 2.298 3.527
B 2.298 3.527 0.000
B 0.000 2.298 1.069
B 3.527 0.000 2.298
B 1.069 0.000 2.298
K 2.298 2.298 2.298


10
Lattice="5.934 0.000 0.000 0.000 4.854 0.541 0.000 -0.815 7.306" Properties=species:S:1:pos:R:3 comment="KNdBN2, relaxed, DFT GGA-PBE" density_g_cm3=3.5 formation_energy_uncorrected_mev_per_atom=-796 total_magnetization_mub_per_atom=0.0000 e_tot_ev_per_atom=-6.635 pbc="T T T"
N 4.592 4.027 7.830
N 1.342 0.012 0.017
N 4.592 -0.395 3.670
N 1.342 4.434 4.178
B 0.000 -0.408 3.653
B 0.000 0.000 0.000
Nd 2.945 -0.611 5.479
Nd 2.988 -0.204 1.826
K 5.886 1.816 5.750
K 0.048 2.223 2.097


5
Lattice="4.696 0.000 0.000 0.000 4.696 0.000 0.000 0.000 2.747" Properties=species:S:1:pos:R:3 comment="KBNO2, relaxed, DFT GGA-PBE" density_g_cm3=2.6 formation_energy_uncorrected_mev_per_atom=63 total_magnetization_mub_per_atom=0.6002 e_tot_ev_per_atom=-5.140 pbc="T T T"
N 0.000 0.000 1.373
O 2.348 0.000 0.000
O 0.000 2.348 0.000
K 2.348 2.348 1.373
B 0.000 0.000 0.000


Which formula does entry 2 have? KNdBN2